No. 1
Density functional theory data (PBE-GGA) for an optimized crystal structure of Nb2ZnMoN.

Values from the calculation:
crystal system = tetragonal
calculated volume = 14.92 Å³ per atom
E_form (uncorrected) = -146 kJ/mol of formula units
size of the total moment = 0.000 μB per atom

Cell and atoms, written as CIF:
```
data_Nb2ZnMoN
_symmetry_space_group_name_H-M 'P 4/m m m'
_symmetry_Int_Tables_number 123
_symmetry_space_group_name_Hall '-P 4 2'
_cell_length_a 4.278
_cell_length_b 4.278
_cell_length_c 4.076
_cell_angle_alpha 90.00
_cell_angle_beta 90.00
_cell_angle_gamma 90.00
loop_
_atom_site_label
_atom_site_type_symbol
_atom_site_fract_x
_atom_site_fract_y
_atom_site_fract_z
Nb1 Nb 0.000 0.500 0.000
Zn1 Zn 0.000 0.000 0.500
Mo1 Mo 0.500 0.500 0.500
N1 N 0.500 0.500 0.000
```

---

No. 2
Density functional theory data (PBE-GGA) for an optimized crystal structure of Nd3Mo5N12.

Values from the calculation:
crystal system = cubic
calculated volume = 13.70 Å³ per atom
E_form (uncorrected) = -1298 kJ/mol of formula units
size of the total moment = 0.000 μB per atom

Cell and atoms, written as CIF:
```
data_Nd3Mo5N12
_symmetry_space_group_name_H-M 'I a -3 d'
_symmetry_Int_Tables_number 230
_symmetry_space_group_name_Hall '-I 4bd 2c 3'
_cell_length_a 12.990
_cell_length_b 12.990
_cell_length_c 12.990
_cell_angle_alpha 90.00
_cell_angle_beta 90.00
_cell_angle_gamma 90.00
loop_
_atom_site_label
_atom_site_type_symbol
_atom_site_fract_x
_atom_site_fract_y
_atom_site_fract_z
Nd1 Nd 0.000 0.250 0.125
Mo1 Mo 0.000 0.000 0.000
Mo2 Mo 0.000 0.250 0.375
N1 N 0.034 0.048 0.648
```

---

No. 3
Density functional theory data (PBE-GGA) for an optimized crystal structure of Nd2MoN4.

Values from the calculation:
crystal system = tetragonal
calculated volume = 14.07 Å³ per atom
E_form (uncorrected) = -627 kJ/mol of formula units
energy above the most stable polymorph in this dataset = 0.35 eV per formula unit
size of the total moment = 0.000 μB per atom

Cell and atoms, written as CIF:
```
data_Nd2MoN4
_symmetry_space_group_name_H-M 'I 4/m m m'
_symmetry_Int_Tables_number 139
_symmetry_space_group_name_Hall '-I 4 2'
_cell_length_a 3.956
_cell_length_b 3.956
_cell_length_c 12.586
_cell_angle_alpha 90.00
_cell_angle_beta 90.00
_cell_angle_gamma 90.00
loop_
_atom_site_label
_atom_site_type_symbol
_atom_site_fract_x
_atom_site_fract_y
_atom_site_fract_z
Nd1 Nd 0.000 0.000 0.145
Mo1 Mo 0.000 0.000 0.500
N1 N 0.000 0.000 0.334
N2 N 0.000 0.500 0.000
```